# 1
First-principles (GGA-PBE) data for an optimized crystal structure of CdCuAs4, as listed in Alexandria via LeMat-Bulk.

```
CdCuAs4
1.0
0.000 3.937 3.937
3.937 0.000 3.937
3.937 3.937 0.000
Cd Cu As
1 1 4
Cartesian
0.000 0.000 0.000
5.906 5.906 5.906
2.960 2.960 2.960
4.915 4.915 2.960
4.915 2.960 4.915
2.960 4.915 4.915
```

Calculated values
The calculation puts the density of states at the Fermi level at 0.4291 states/eV/atom. The symmetry is F-43m, No. 216. The value obtained for the formation energy is 0.47 eV/atom.


# 2
First-principles (GGA-PBE) data for an optimized crystal structure of KSrZnCl5, as listed in Alexandria via LeMat-Bulk.

```
KSrZnCl5
1.0
4.587 -6.088 0.000
4.587 6.088 0.000
-3.993 0.000 9.408
K Sr Zn Cl
2 2 2 10
Cartesian
1.592 4.274 7.056
3.589 -4.274 2.352
4.587 0.000 0.000
2.590 0.000 4.704
3.589 3.859 2.352
1.592 -3.859 7.056
-2.155 0.825 8.689
1.991 2.561 3.370
-0.159 -0.825 3.985
1.592 1.213 7.056
5.186 2.561 1.333
-0.006 -2.561 8.074
3.589 -1.213 2.352
5.339 0.825 5.422
3.190 -2.561 6.037
7.336 -0.825 0.719
```

Calculated values
The calculation puts the density of states at the Fermi level at 0.0000 states/eV/atom. The symmetry is C2/c, No. 15. The value obtained for the formation energy without anion corrections is -1.86 eV per atom.


# 3
First-principles (GGA-PBE) data for an optimized crystal structure of BaMnSe2, as listed in Alexandria via LeMat-Bulk.

```
BaMnSe2
1.0
4.299 0.000 0.000
-2.150 3.723 0.000
0.000 0.000 20.833
Ba Mn Se
3 3 6
Cartesian
0.000 0.000 0.000
0.000 2.482 13.889
2.150 1.241 6.944
0.000 0.000 10.416
0.000 2.482 3.472
2.150 1.241 17.361
0.000 0.000 4.849
0.000 0.000 15.983
0.000 2.482 9.039
0.000 2.482 18.738
2.150 1.241 2.095
2.150 1.241 11.794
```

Calculated values
The symmetry is R-3m, No. 166. The value obtained for the formation energy without anion corrections is -1.09 eV per atom.


What are the calculated total energy values for these records? In order: -3.47 -3.52 -5.60 eV per atom.